! PBEsol ScCuNi4, optimized geometry; values from VASP
&SYSTEM
  ibrav = 0, nat = 6, ntyp = 3
/
ATOMIC_SPECIES
Sc 44.96 Sc.upf
Cu 63.55 Cu.upf
Ni 58.69 Ni.upf
CELL_PARAMETERS angstrom
0.000 3.306 3.306
3.306 0.000 3.306
3.306 3.306 0.000
ATOMIC_POSITIONS angstrom
Sc 0.000 0.000 0.000
Cu 4.959 4.959 4.959
Ni 2.484 2.484 2.484
Ni 4.128 4.128 2.484
Ni 4.128 2.484 4.128
Ni 2.484 4.128 4.128
! Total energy in eV for the cell shown: -37.4
! Total magnetic moment in μB per cell: 0.01
! Fermi-level density of states in states/eV/f.u.: 6.970
! V in Å³ per atom: 12.0